# 1
DFT (PBE) results for a relaxed Li2TlPbO4 crystal.

a b c (Å): 5.9975 5.9975 5.9975
angles (deg): 135.43 135.43 64.86
With the nearest neighbours (Å) after each atom.
Sites, in units of the cell vectors:
Li  0.0000  0.0000  0.0000  6 O 2.28-2.54
Li  0.7500  0.2500  0.5000  4 O 2.27
Tl  0.5000  0.5000  0.0000  6 O 2.28-2.52
Pb  0.2500  0.7500  0.5000  6 O 2.27-2.37
O  0.0160  0.5160  0.5000  2 Tl 2.28, 2 Li 2.28, 1 Pb 2.37
O  0.2513  0.2513  0.0000  2 Pb 2.27, 3 Li 2.27-2.54, 1 Tl 2.52
O  0.4840  0.9840  0.5000  2 Li 2.28, 2 Tl 2.28, 1 Pb 2.37
O  0.7487  0.7487  0.0000  2 Pb 2.27, 3 Li 2.27-2.54, 1 Tl 2.52

N(E_F) (states/eV/atom): 0.14
Formation energy without anion corrections (eV/atom): -1.18
Symmetry: I-4m2, No. 119

=====

# 2
DFT (PBE) results for a relaxed LiTl2PbO6 crystal.

a b c (Å): 6.0000 6.0000 6.0000
angles (deg): 56.56 56.56 56.56
With the nearest neighbours (Å) after each atom.
Sites, in units of the cell vectors:
Li  0.0000  0.0000  0.0000  6 O 2.17-2.34
Tl  0.2824  0.2824  0.2824  6 O 2.23-2.37
Tl  0.7829  0.7829  0.7829  6 O 2.23-2.37
Pb  0.4957  0.4957  0.4957  6 O 2.17-2.27
O  0.1060  0.3816  0.6941  1 Li 2.17, 2 Tl 2.23-2.37, 1 Pb 2.27
O  0.1971  0.8780  0.6035  1 Pb 2.17, 2 Tl 2.23-2.37, 1 Li 2.34
O  0.3816  0.6941  0.1060  1 Li 2.17, 2 Tl 2.23-2.37, 1 Pb 2.27
O  0.6035  0.1971  0.8780  1 Pb 2.17, 2 Tl 2.23-2.37, 1 Li 2.34
O  0.6941  0.1060  0.3816  1 Li 2.17, 2 Tl 2.23-2.37, 1 Pb 2.27
O  0.8780  0.6035  0.1971  1 Pb 2.17, 2 Tl 2.23-2.37, 1 Li 2.34

N(E_F) (states/eV/atom): 0.84
Formation energy without anion corrections (eV/atom): -0.76
Symmetry: R3, No. 146

=====

# 3
DFT (PBE) results for a relaxed LiUPb2O6 crystal.

a b c (Å): 5.7708 6.0812 10.1083
angles (deg): 90.00 124.25 90.00
With the nearest neighbours (Å) after each atom.
Sites, in units of the cell vectors:
Li  0.0000  0.0000  0.0000  6 O 2.22-2.35
Li  0.0000  0.5000  0.5000  6 O 2.22-2.35
U  0.5000  0.0000  0.5000  6 O 2.06-2.16
U  0.5000  0.5000  0.0000  6 O 2.06-2.16
Pb  0.2523  0.0500  0.7495  4 O 2.36-2.55
Pb  0.2523  0.4500  0.2495  4 O 2.36-2.55
Pb  0.7477  0.5500  0.7505  4 O 2.36-2.55
Pb  0.7477  0.9500  0.2505  4 O 2.36-2.55
O  0.1483  0.0429  0.2543  1 U 2.16, 1 Li 2.22, 1 Pb 2.36
O  0.1483  0.4571  0.7543  1 U 2.16, 1 Li 2.22, 1 Pb 2.36
O  0.2467  0.6777  0.0449  1 U 2.06
O  0.2467  0.8223  0.5449  1 U 2.06
O  0.3861  0.2119  0.0578  1 U 2.07
O  0.3861  0.2881  0.5578  1 U 2.07
O  0.6139  0.7119  0.4422  1 U 2.07
O  0.6139  0.7881  0.9422  1 U 2.07
O  0.7533  0.1777  0.4551  1 U 2.06
O  0.7533  0.3223  0.9551  1 U 2.06
O  0.8517  0.5429  0.2457  1 U 2.16, 1 Li 2.22, 1 Pb 2.36
O  0.8517  0.9571  0.7457  1 U 2.16, 1 Li 2.22, 1 Pb 2.36

N(E_F) (states/eV/atom): 0.64
Formation energy without anion corrections (eV/atom): -1.95
Symmetry: P2_1/c, No. 14

=====

# 4
DFT (PBE) results for a relaxed Li2UPb2O6 crystal.

a b c (Å): 6.3777 6.3777 6.3777
angles (deg): 56.28 56.28 56.28
With the nearest neighbours (Å) after each atom.
Sites, in units of the cell vectors:
Li  0.0826  0.0826  0.0826  3 O 1.88
Li  0.9174  0.9174  0.9174  3 O 1.88
U  0.5000  0.5000  0.5000  6 O 2.10
Pb  0.2980  0.2980  0.2980  3 O 2.46
Pb  0.7020  0.7020  0.7020  3 O 2.46
O  0.2614  0.2614  0.7209  1 Li 1.88
O  0.2614  0.7209  0.2614  1 Li 1.88
O  0.2791  0.7386  0.7386  1 Li 1.88
O  0.7209  0.2614  0.2614  1 Li 1.88
O  0.7386  0.2791  0.7386  1 Li 1.88
O  0.7386  0.7386  0.2791  1 Li 1.88

N(E_F) (states/eV/atom): 0.00
Formation energy without anion corrections (eV/atom): -2.02
Symmetry: R-3m, No. 166

=====

# 5
DFT (PBE) results for a relaxed Li2UPbO6 crystal.

a b c (Å): 5.8528 5.8528 5.8528
angles (deg): 55.30 55.30 55.30
With the nearest neighbours (Å) after each atom.
Sites, in units of the cell vectors:
Li  0.0000  0.0000  0.0000  3 O 2.02
Li  0.4913  0.4913  0.4913  3 O 2.02
U  0.7789  0.7789  0.7789  6 O 2.09
Pb  0.2764  0.2764  0.2764  6 O 2.19-2.23
O  0.0432  0.6781  0.3927  1 Li 2.02, 1 U 2.09, 1 Pb 2.23
O  0.1657  0.5570  0.8742  1 Li 2.02, 1 U 2.09, 1 Pb 2.19
O  0.3927  0.0432  0.6781  1 Li 2.02, 1 U 2.09, 1 Pb 2.23
O  0.5570  0.8742  0.1657  1 Li 2.02, 1 U 2.09, 1 Pb 2.19
O  0.6781  0.3927  0.0432  1 Li 2.02, 1 U 2.09, 1 Pb 2.23
O  0.8742  0.1657  0.5570  1 Li 2.02, 1 U 2.09, 1 Pb 2.19

Formation energy without anion corrections (eV/atom): -2.13
Symmetry: R3, No. 146

=====

# 6
DFT (PBE) results for a relaxed LiUPbO5 crystal.

a b c (Å): 6.2195 6.2195 7.8117
angles (deg): 102.45 102.45 111.24
With the nearest neighbours (Å) after each atom.
Sites, in units of the cell vectors:
Li  0.0529  0.9471  0.7500  4 O 1.97-2.11
Li  0.9471  0.0529  0.2500  4 O 1.97-2.11
U  0.0000  0.5000  0.0000  2 O 1.88
U  0.5000  0.0000  0.5000  2 O 1.88
Pb  0.4610  0.5390  0.7500  3 O 2.26-2.30
Pb  0.5390  0.4610  0.2500  3 O 2.26-2.30
O  0.1252  0.7656  0.9145  1 U 1.88, 1 Li 1.97
O  0.2272  0.3226  0.9002  1 Li 2.11, 1 U 2.25, 1 Pb 2.30
O  0.2344  0.8748  0.5855  1 U 1.88, 1 Li 1.97
O  0.3188  0.6812  0.2500  2 U 2.19, 1 Pb 2.26
O  0.3226  0.2272  0.4002  1 Li 2.11, 1 U 2.25, 1 Pb 2.30
O  0.6774  0.7728  0.5998  1 Li 2.11, 1 U 2.25, 1 Pb 2.30
O  0.6812  0.3188  0.7500  2 U 2.19, 1 Pb 2.26
O  0.7656  0.1252  0.4145  1 U 1.88, 1 Li 1.97
O  0.7728  0.6774  0.0998  1 Li 2.11, 1 U 2.25, 1 Pb 2.30
O  0.8748  0.2344  0.0855  1 U 1.88, 1 Li 1.97

N(E_F) (states/eV/atom): 0.19
Formation energy without anion corrections (eV/atom): -2.16
Symmetry: C2/c, No. 15

=====

Ordered total magnetization results: 0.00, 0.11, 0.00, 0.00, 0.00, 0.00; unit μB per atom.